Material: CsKRb17
Method: DFT, PBE
State: optimized geometry

```
CsKRb17
1.0
7.545 4.356 8.975
-7.545 4.356 8.975
0.000 -8.712 8.975
Cs K Rb
1 1 17
direct
0.000 0.000 0.000 Cs
0.685 0.685 0.685 K
0.021 0.351 0.660 Rb
0.021 0.660 0.351 Rb
0.265 0.265 0.265 Rb
0.283 0.283 0.900 Rb
0.283 0.900 0.283 Rb
0.299 0.661 0.661 Rb
0.351 0.021 0.660 Rb
0.351 0.660 0.021 Rb
0.421 0.421 0.421 Rb
0.606 0.951 0.951 Rb
0.660 0.021 0.351 Rb
0.660 0.351 0.021 Rb
0.661 0.299 0.661 Rb
0.661 0.661 0.299 Rb
0.900 0.283 0.283 Rb
0.951 0.606 0.951 Rb
0.951 0.951 0.606 Rb
```

Summary:
Fermi-level density of states   1.024 states/eV/atom
Total moment   0.00 μB/atom
Uncorrected energy   -17.918 eV/f.u.
Space group   R3m, No. 160

Material: UAl5Os
Method: DFT, PBE
State: optimized geometry

```
UAl5Os
1.0
4.326 0.000 0.000
0.000 4.326 0.000
0.000 0.000 6.829
U Al Os
1 5 1
direct
0.000 0.000 0.000 U
0.000 0.500 0.303 Al
0.000 0.500 0.697 Al
0.500 0.000 0.303 Al
0.500 0.000 0.697 Al
0.500 0.500 0.000 Al
0.000 0.000 0.500 Os
```

Summary:
Fermi-level density of states   0.742 states/eV/atom
Total moment   0.27 μB/atom
Uncorrected energy   -43.474 eV/f.u.
Space group   P4/mmm, No. 123

Material: Rb5Mn2Se5
Method: DFT, PBE
State: optimized geometry

```
Rb5Mn2Se5
1.0
7.843 -2.194 0.000
7.843 2.194 0.000
-2.036 0.000 11.599
Rb Mn Se
5 2 5
direct
0.000 0.000 0.000 Rb
0.152 0.152 0.596 Rb
0.283 0.283 0.874 Rb
0.717 0.717 0.126 Rb
0.848 0.848 0.404 Rb
0.472 0.472 0.701 Mn
0.528 0.528 0.299 Mn
0.114 0.114 0.289 Se
0.390 0.390 0.161 Se
0.500 0.500 0.500 Se
0.610 0.610 0.839 Se
0.886 0.886 0.711 Se
```

Summary:
Fermi-level density of states   0.467 states/eV/atom
Uncorrected formation energy   -0.86 eV per atom
Total moment   0.75 μB/atom
Uncorrected energy   -50.897 eV/f.u.
Space group   C2/m, No. 12

Material: BaHgSe
Method: DFT, PBE
State: optimized geometry

```
BaHgSe
1.0
-2.174 2.174 5.249
2.174 -2.174 5.249
2.174 2.174 -5.249
Ba Hg Se
1 1 1
direct
0.000 0.000 0.000 Ba
0.686 0.686 0.000 Hg
0.366 0.366 0.000 Se
```

Summary:
Uncorrected formation energy   -1.07 eV per atom
Total moment   0.00 μB/atom
Uncorrected energy   -8.916 eV/f.u.
Distance to the lowest polymorph of the same formula   0.055 eV/atom
Space group   I4mm, No. 107